{"formula": "HfV2HgO8", "functional": "PBE+U", "state": "relaxed", "lattice": [[5.896, 0.025, 0.000], [-2.593, 5.295, 0.000], [-1.652, -2.660, 4.996]], "species": ["O", "O", "O", "O", "O", "O", "O", "O", "Hf", "V", "V", "Hg"], "frac_coords": [[0.450, 0.656, 0.794], [0.344, 0.550, 0.206], [0.943, 0.265, 0.322], [0.379, 0.057, 0.322], [0.943, 0.621, 0.678], [0.862, 0.656, 0.206], [0.344, 0.138, 0.794], [0.735, 0.057, 0.678], [0.250, 0.750, 0.500], [0.750, 0.250, 0.500], [0.500, 0.500, 0.000], [0.000, 0.000, 0.000]], "n_ef_per_ev_atom": 0.000, "mass_density_kg_m3": 6470, "vol_a3_per_atom": 13.0, "energy_ev_per_fu": -88.2}